Record 1
The following is a GGA-PBE calculation of crystalline Tb4Pm3Dy at its relaxed geometry, from Alexandria via LeMat-Bulk.

Results
- energy relative to the elements (kJ/mol of atoms) = 2.12
- volume (Å³/atom) = 33.21

```
data_Tb4Pm3Dy
_cell_length_a 11.498
_cell_length_b 7.316
_cell_length_c 6.317
_cell_angle_alpha 90.00
_cell_angle_beta 90.00
_cell_angle_gamma 90.00
_symmetry_space_group_name_H-M 'P m n 21'
_symmetry_Int_Tables_number 31
loop_
_symmetry_equiv_pos_as_xyz
'x,y,z'
'-x+1/2,-y,z+1/2'
'-x,y,z'
'x+1/2,-y,z+1/2'
loop_
_atom_site_label
_atom_site_fract_x
_atom_site_fract_y
_atom_site_fract_z
Tb1 0.000 0.123 0.000
Tb2 0.000 0.876 0.500
Tb3 0.249 0.123 0.333
Pm1 0.000 0.626 0.000
Pm2 0.250 0.374 0.833
Dy1 0.000 0.372 0.500
```

Record 2
The following is a GGA-PBE calculation of crystalline Tb4PmDy7 at its relaxed geometry, from Alexandria via LeMat-Bulk.

Results
- energy relative to the elements (kJ/mol of atoms) = 26.12
- volume (Å³/atom) = 32.96

```
data_Tb4PmDy7
_cell_length_a 12.048
_cell_length_b 5.879
_cell_length_c 12.651
_cell_angle_alpha 90.00
_cell_angle_beta 118.01
_cell_angle_gamma 90.00
_symmetry_space_group_name_H-M 'C 1 2/m 1'
_symmetry_Int_Tables_number 12
loop_
_symmetry_equiv_pos_as_xyz
'x,y,z'
'-x,-y,-z'
'-x,y,-z'
'x,-y,z'
'x+1/2,y+1/2,z'
'-x+1/2,-y+1/2,-z'
'-x+1/2,y+1/2,-z'
'x+1/2,-y+1/2,z'
loop_
_atom_site_label
_atom_site_fract_x
_atom_site_fract_y
_atom_site_fract_z
Tb1 0.134 0.000 0.275
Tb2 0.245 0.500 0.181
Pm1 0.000 0.500 0.500
Dy1 0.000 0.000 0.500
Dy2 0.061 0.500 0.826
Dy3 0.133 0.000 0.002
Dy4 0.211 0.500 0.423
```

Record 3
The following is a GGA-PBE calculation of crystalline Tb2Pm3Dy8 at its relaxed geometry, from Alexandria via LeMat-Bulk.

Results
- energy relative to the elements (kJ/mol of atoms) = 23.52
- volume (Å³/atom) = 33.63

```
data_Tb2Pm3Dy8
_cell_length_a 20.164
_cell_length_b 7.688
_cell_length_c 5.640
_cell_angle_alpha 90.00
_cell_angle_beta 90.03
_cell_angle_gamma 90.00
_symmetry_space_group_name_H-M 'C 1 2/m 1'
_symmetry_Int_Tables_number 12
loop_
_symmetry_equiv_pos_as_xyz
'x,y,z'
'-x,-y,-z'
'-x,y,-z'
'x,-y,z'
'x+1/2,y+1/2,z'
'-x+1/2,-y+1/2,-z'
'-x+1/2,y+1/2,-z'
'x+1/2,-y+1/2,z'
loop_
_atom_site_label
_atom_site_fract_x
_atom_site_fract_y
_atom_site_fract_z
Tb1 0.241 0.000 0.499
Pm1 0.000 0.000 0.500
Pm2 0.000 0.291 0.000
Dy1 0.109 0.291 0.500
Dy2 0.134 0.000 0.000
Dy3 0.170 0.500 0.001
```

Record 4
The following is a GGA-PBE calculation of crystalline Tb4PmDy10 at its relaxed geometry, from Alexandria via LeMat-Bulk.

Results
- energy relative to the elements (kJ/mol of atoms) = 71.23
- volume (Å³/atom) = 37.88

```
data_Tb4PmDy10
_cell_length_a 12.160
_cell_length_b 12.160
_cell_length_c 7.686
_cell_angle_alpha 90.00
_cell_angle_beta 90.00
_cell_angle_gamma 90.00
_symmetry_space_group_name_H-M 'I 4/m'
_symmetry_Int_Tables_number 87
_symmetry_space_group_name_Hall '-I 4'
loop_
_atom_site_label
_atom_site_fract_x
_atom_site_fract_y
_atom_site_fract_z
Tb1 0.100 0.700 0.000
Pm1 0.000 0.000 0.500
Dy1 0.000 0.500 0.250
Dy2 0.101 0.201 0.249
```

Record 5
The following is a GGA-PBE calculation of crystalline Tb4Pm2Dy at its relaxed geometry, from Alexandria via LeMat-Bulk.

Results
- energy relative to the elements (kJ/mol of atoms) = 4.69
- volume (Å³/atom) = 32.75

```
data_Tb4Pm2Dy
_cell_length_a 16.899
_cell_length_b 3.550
_cell_length_c 8.811
_cell_angle_alpha 90.00
_cell_angle_beta 119.82
_cell_angle_gamma 90.00
_symmetry_space_group_name_H-M 'C 1 2/m 1'
_symmetry_Int_Tables_number 12
loop_
_symmetry_equiv_pos_as_xyz
'x,y,z'
'-x,-y,-z'
'-x,y,-z'
'x,-y,z'
'x+1/2,y+1/2,z'
'-x+1/2,-y+1/2,-z'
'-x+1/2,y+1/2,-z'
'x+1/2,-y+1/2,z'
loop_
_atom_site_label
_atom_site_fract_x
_atom_site_fract_y
_atom_site_fract_z
Tb1 0.144 0.000 0.345
Tb2 0.204 0.000 0.792
Pm1 0.070 0.500 0.930
Dy1 0.000 0.500 0.500
```

Record 6
The following is a GGA-PBE calculation of crystalline Tb5Pm2Dy6 at its relaxed geometry, from Alexandria via LeMat-Bulk.

Results
- energy relative to the elements (kJ/mol of atoms) = 9.37
- volume (Å³/atom) = 32.67

```
data_Tb5Pm2Dy6
_cell_length_a 11.687
_cell_length_b 20.266
_cell_length_c 3.586
_cell_angle_alpha 90.00
_cell_angle_beta 90.00
_cell_angle_gamma 90.00
_symmetry_space_group_name_H-M 'P b a m'
_symmetry_Int_Tables_number 55
loop_
_symmetry_equiv_pos_as_xyz
'x,y,z'
'-x,-y,-z'
'-x,-y,z'
'x,y,-z'
'x+1/2,-y+1/2,-z'
'-x+1/2,y+1/2,z'
'-x+1/2,y+1/2,-z'
'x+1/2,-y+1/2,z'
loop_
_atom_site_label
_atom_site_fract_x
_atom_site_fract_y
_atom_site_fract_z
Tb1 0.000 0.000 0.000
Tb2 0.090 0.277 0.000
Tb3 0.199 0.551 0.000
Pm1 0.169 0.714 0.500
Dy1 0.059 0.421 0.500
Dy2 0.080 0.133 0.500
Dy3 0.177 0.870 0.000
```